{
  "formula": "KFe3As",
  "functional": "GGA-PBE",
  "state": "optimized geometry",
  "cell": [[-2.825, -0.132, -3.550], [3.402, -1.408, -2.655], [-1.024, -4.313, 0.975]],
  "species": ["K", "As", "Fe", "Fe", "Fe"],
  "frac_coords": [[0.000, 0.000, 0.000], [0.500, 0.500, 0.500], [0.000, 0.500, 0.000], [0.000, 0.000, 0.500], [0.500, 0.000, 0.000]],
  "total_magnetization_mub_per_cell": 8.2,
  "rho_g_cm3": 5.0,
  "de_polymorph_ev_per_fu": 7.944,
  "delta_e_f_ev_per_atom": 2.36
}